1.
Below is a relaxed structure of Ca2PH2, with properties calculated at the PBEsol level.

Summary:
Crystal system: tetragonal
Symmetry: P4/mbm

a = 3.0415 Å, b = 7.2409 Å, c = 7.2409 Å
α = 90.00°, β = 90.00°, γ = 90.00°
With the nearest neighbours (Å) after each atom.
Fractional positions:
Ca (0.0000, 0.8459, 0.6541)  4 H 2.46, 2 P 2.74
Ca (0.0000, 0.1541, 0.3459)  4 H 2.46, 2 P 2.74
Ca (0.0000, 0.6541, 0.1541)  4 H 2.46, 2 P 2.74
Ca (0.0000, 0.3459, 0.8459)  4 H 2.46, 2 P 2.74
P (0.0000, 0.5000, 0.5000)  4 Ca 2.74, 2 P 3.04
P (0.0000, 0.0000, 0.0000)  4 Ca 2.74, 2 P 3.04
H (0.5000, 0.6100, 0.8900)  1 H 2.25, 4 Ca 2.46
H (0.5000, 0.8900, 0.3900)  1 H 2.25, 4 Ca 2.46
H (0.5000, 0.3900, 0.1100)  1 H 2.25, 4 Ca 2.46
H (0.5000, 0.1100, 0.6100)  1 H 2.25, 4 Ca 2.46



2.
Below is a relaxed structure of BaTaSn3, with properties calculated at the PBEsol level.

Summary:
Crystal system: cubic
Excess energy over the best structure of this formula in the dataset in meV/atom: 2237
Formation enthalpy at 0 K in eV/atom: 2.069
Symmetry: Pm-3m

a = 5.7603 Å, b = 5.7603 Å, c = 5.7603 Å
α = 90.00°, β = 90.00°, γ = 90.00°
With the nearest neighbours (Å) after each atom.
Fractional positions:
Ta (0.5000, 0.5000, 0.5000)  12 Sn 4.07
Sn (0.0000, 0.0000, 0.5000)  2 Ba 2.88
Sn (0.0000, 0.5000, 0.0000)  2 Ba 2.88
Sn (0.5000, 0.0000, 0.0000)  2 Ba 2.88
Ba (0.0000, 0.0000, 0.0000)  6 Sn 2.88



3.
Below is a relaxed structure of BaBe2Te, with properties calculated at the PBEsol level.

Summary:
Crystal system: tetragonal
Symmetry: P4/mmm

a = 3.5874 Å, b = 3.5874 Å, c = 6.9089 Å
α = 90.00°, β = 90.00°, γ = 90.00°
With the nearest neighbours (Å) after each atom.
Fractional positions:
Be (0.0000, 0.0000, 0.8392)  1 Be 2.22
Be (0.0000, 0.0000, 0.1608)  1 Be 2.22
Te (0.5000, 0.5000, 0.0000)  8 Be 2.77
Ba (0.5000, 0.5000, 0.5000)  8 Be 3.45, 2 Te 3.45, 4 Ba 3.59



4.
Below is a relaxed structure of GdB4, with properties calculated at the PBEsol level.

Summary:
Crystal system: tetragonal
Formation enthalpy at 0 K in eV/atom: -0.645
Symmetry: P4/mbm

a = 4.0130 Å, b = 7.0940 Å, c = 7.0940 Å
α = 90.00°, β = 90.00°, γ = 90.00°
With the nearest neighbours (Å) after each atom.
Fractional positions:
B (0.5000, 0.5870, 0.0870)  3 B 1.71-1.75
B (0.5000, 0.3239, 0.4613)  5 B 1.71-1.81
B (0.5000, 0.0870, 0.4130)  3 B 1.71-1.75
B (0.2031, 0.0000, 0.0000)  5 B 1.63-1.75
B (0.5000, 0.5387, 0.3239)  5 B 1.71-1.81
B (0.5000, 0.6761, 0.5387)  5 B 1.71-1.81
B (0.5000, 0.8239, 0.0387)  5 B 1.71-1.81
B (0.5000, 0.4613, 0.6761)  5 B 1.71-1.81
B (0.7969, 0.5000, 0.5000)  5 B 1.63-1.75
B (0.5000, 0.4130, 0.9130)  3 B 1.71-1.75
B (0.5000, 0.9130, 0.5870)  3 B 1.71-1.75
B (0.5000, 0.1761, 0.9613)  5 B 1.71-1.81
B (0.5000, 0.0387, 0.1761)  5 B 1.71-1.81
B (0.7969, 0.0000, 0.0000)  5 B 1.63-1.75
B (0.2031, 0.5000, 0.5000)  5 B 1.63-1.75
B (0.5000, 0.9613, 0.8239)  5 B 1.71-1.81
Gd (0.0000, 0.1841, 0.6841)  16 B 2.72-2.86
Gd (0.0000, 0.3159, 0.1841)  16 B 2.72-2.86
Gd (0.0000, 0.8159, 0.3159)  16 B 2.72-2.86
Gd (0.0000, 0.6841, 0.8159)  16 B 2.72-2.86



5.
Below is a relaxed structure of FeP3W, with properties calculated at the PBEsol level.

Summary:
Crystal system: cubic
Formation enthalpy at 0 K in eV/atom: 1.028
Symmetry: Pm-3m

a = 4.6325 Å, b = 4.6325 Å, c = 4.6325 Å
α = 90.00°, β = 90.00°, γ = 90.00°
With the nearest neighbours (Å) after each atom.
Fractional positions:
P (0.5000, 0.0000, 0.0000)  2 W 2.32
P (0.0000, 0.5000, 0.0000)  2 W 2.32
P (0.0000, 0.0000, 0.5000)  2 W 2.32
Fe (0.5000, 0.5000, 0.5000)  12 P 3.28
W (0.0000, 0.0000, 0.0000)  6 P 2.32



6.
Below is a relaxed structure of CoAg2H, with properties calculated at the PBEsol level.

Summary:
Crystal system: cubic
Symmetry: Fm-3m

a = 4.1590 Å, b = 4.1590 Å, c = 4.1590 Å
α = 60.00°, β = 60.00°, γ = 60.00°
With the nearest neighbours (Å) after each atom.
Fractional positions:
Co (0.5000, 0.5000, 0.5000)  8 Ag 2.55
Ag (0.7500, 0.7500, 0.7500)  4 Co 2.55, 4 H 2.55
Ag (0.2500, 0.2500, 0.2500)  4 H 2.55, 4 Co 2.55
H (0.0000, 0.0000, 0.0000)  8 Ag 2.55



7.
Below is a relaxed structure of Y2CoRh, with properties calculated at the PBEsol level.

Summary:
Crystal system: tetragonal
Formation enthalpy at 0 K in eV/atom: -0.455
Symmetry: P4/mmm

a = 3.3190 Å, b = 3.3190 Å, c = 6.7263 Å
α = 90.00°, β = 90.00°, γ = 90.00°
With the nearest neighbours (Å) after each atom.
Fractional positions:
Rh (0.5000, 0.5000, 0.5000)  8 Y 2.91
Y (0.0000, 0.0000, 0.2437)  4 Co 2.86, 4 Rh 2.91
Y (0.0000, 0.0000, 0.7563)  4 Co 2.86, 4 Rh 2.91
Co (0.5000, 0.5000, 0.0000)  8 Y 2.86



8.
Below is a relaxed structure of La2O3, with properties calculated at the PBEsol level.

Summary:
Crystal system: hexagonal
Symmetry: P6/mmm

a = 3.2505 Å, b = 6.2972 Å, c = 6.2972 Å
α = 120.00°, β = 90.00°, γ = 90.00°
With the nearest neighbours (Å) after each atom.
Fractional positions:
La (0.5000, 0.6667, 0.3333)  6 O 2.44
La (0.5000, 0.3333, 0.6667)  6 O 2.44
O (0.0000, 0.0000, 0.5000)  4 La 2.44
O (0.0000, 0.5000, 0.0000)  4 La 2.44
O (0.0000, 0.5000, 0.5000)  4 La 2.44



Table of energy (eV for the cell shown), in record order: -36.7 -17.1 -12.6 -183.0 -35.0 -14.0 -31.3 -42.5